A relaxed LaMgSn4 crystal, computed with PBE. Values from VASP.

Calculated values
Total magnetic moment in μB per formula unit: 0.00
Mass density in g/cm3: 6.2
Calculated formation energy in eV/f.u.: -1.6
E in eV/atom: -4.0144
DOS at the Fermi energy in states/eV/atom: 0.4904

```
&SYSTEM
  ibrav = 0, nat = 6, ntyp = 3
/
ATOMIC_SPECIES
La 138.91 La.upf
Sn 118.71 Sn.upf
Mg 24.30 Mg.upf
ATOMIC_POSITIONS angstrom
La 0.000 0.000 0.000
Sn 4.664 4.485 3.172
Sn 6.216 3.589 0.636
Mg 3.108 1.795 1.269
Sn 7.769 4.485 3.172
Sn 6.216 1.796 3.172
CELL_PARAMETERS angstrom
6.216 0.000 0.000
3.108 5.384 0.000
3.108 1.795 5.076
```

---

A relaxed LaMgSn2 crystal, computed with PBE. Values from VASP.

Calculated values
Total magnetic moment in μB per formula unit: 0.00
Mass density in g/cm3: 5.2
Calculated formation energy in eV/f.u.: -0.8
E in eV/atom: -3.8278
DOS at the Fermi energy in states/eV/atom: 0.9897

```
&SYSTEM
  ibrav = 0, nat = 8, ntyp = 3
/
ATOMIC_SPECIES
Sn 118.71 Sn.upf
Mg 24.30 Mg.upf
La 138.91 La.upf
ATOMIC_POSITIONS angstrom
Sn 3.415 1.262 2.518
Mg 2.524 5.049 5.036
Sn 6.311 5.940 7.554
La 5.049 2.524 5.036
Mg 2.524 2.524 0.000
Sn 1.633 3.787 2.518
La 0.000 0.000 0.000
Sn 3.787 4.158 7.554
CELL_PARAMETERS angstrom
5.049 0.000 0.000
0.000 5.049 0.000
2.524 2.524 10.072
```

---

A relaxed La4MgSn crystal, computed with PBE. Values from VASP.

Calculated values
Total magnetic moment in μB per formula unit: 0.00
Mass density in g/cm3: 6.4
Calculated formation energy in eV/f.u.: -0.9
E in eV/atom: -4.3756
DOS at the Fermi energy in states/eV/atom: 1.6001

```
&SYSTEM
  ibrav = 0, nat = 6, ntyp = 3
/
ATOMIC_SPECIES
La 138.91 La.upf
Sn 118.71 Sn.upf
Mg 24.30 Mg.upf
ATOMIC_POSITIONS angstrom
La 1.671 5.560 8.125
La 1.672 5.558 1.561
La 1.672 2.771 6.516
Sn 3.347 2.772 9.706
La 1.672 2.773 3.171
Mg 3.348 5.559 4.844
CELL_PARAMETERS angstrom
3.351 -0.001 0.000
0.001 5.575 0.000
-0.001 0.000 9.723
```

---

A relaxed La9MgSn2 crystal, computed with PBE. Values from VASP.

Calculated values
Total magnetic moment in μB per formula unit: 0.00
Mass density in g/cm3: 6.5
Calculated formation energy in eV/f.u.: -4.0
E in eV/atom: -4.8300
DOS at the Fermi energy in states/eV/atom: 1.3253

```
&SYSTEM
  ibrav = 0, nat = 12, ntyp = 3
/
ATOMIC_SPECIES
La 138.91 La.upf
Sn 118.71 Sn.upf
Mg 24.30 Mg.upf
ATOMIC_POSITIONS angstrom
La 2.537 2.537 5.025
Sn 0.000 0.000 5.048
La 2.537 0.000 7.549
La 2.537 0.000 2.586
La 0.000 2.537 2.586
La 0.000 2.537 7.549
La 2.537 2.537 10.073
Mg 0.000 0.000 0.000
La 2.537 0.000 12.512
Sn 0.000 0.000 10.049
La 2.537 2.537 0.000
La 0.000 2.537 12.512
CELL_PARAMETERS angstrom
5.074 0.000 0.000
0.000 5.074 0.000
0.000 0.000 15.098
```